1.
VASP calculation (PBE) on a relaxed structure of ReNO.

Results
D(E_F) in states/eV per cell: 2.70
Raw formation energy in eV per atom: -0.64
E in hartree per atom: -0.33876

Cell and atoms, written as CIF:
```
data_ReNO
_cell_length_a 2.7525
_cell_length_b 4.9064
_cell_length_c 4.9325
_cell_angle_alpha 90.00
_cell_angle_beta 90.00
_cell_angle_gamma 90.00
_space_group_name_H-M_alt 'P 1'
_space_group_IT_number 1
loop_
_space_group_symop_operation_xyz
'x,y,z'
loop_
_atom_site_label
_atom_site_type_symbol
_atom_site_fract_x
_atom_site_fract_y
_atom_site_fract_z
Re1 Re 0.0000 0.2333 0.0000
Re2 Re 0.5000 0.7667 0.5000
N1 N 0.0000 0.9703 0.2773
N2 N 0.5000 0.0297 0.7773
O1 O 0.0000 0.5320 0.6916
O2 O 0.5000 0.4680 0.1916
```

---

2.
VASP calculation (PBE) on a relaxed structure of Re3NO.

Results
D(E_F) in states/eV per cell: 5.77
Raw formation energy in eV per atom: 1.13
E in hartree per atom: -0.33040
Offset from the most stable computed form in eV per formula unit: 0.00

Cell and atoms, written as CIF:
```
data_Re3NO
_cell_length_a 4.0246
_cell_length_b 4.0246
_cell_length_c 4.0246
_cell_angle_alpha 90.00
_cell_angle_beta 90.00
_cell_angle_gamma 90.00
_space_group_name_H-M_alt 'P 1'
_space_group_IT_number 1
loop_
_space_group_symop_operation_xyz
'x,y,z'
loop_
_atom_site_label
_atom_site_type_symbol
_atom_site_fract_x
_atom_site_fract_y
_atom_site_fract_z
Re1 Re 0.0000 0.0000 0.5000
Re2 Re 0.0000 0.5000 0.0000
Re3 Re 0.5000 0.0000 0.0000
N1 N 0.0000 0.0000 0.0000
O1 O 0.5000 0.5000 0.5000
```

---

3.
VASP calculation (PBE) on a relaxed structure of ReNO2.

Results
D(E_F) in states/eV per cell: 1.52
Raw formation energy in eV per atom: 0.63
E in hartree per atom: -0.25889

Cell and atoms, written as CIF:
```
data_ReNO2
_cell_length_a 6.5716
_cell_length_b 6.5716
_cell_length_c 6.5716
_cell_angle_alpha 24.01
_cell_angle_beta 24.01
_cell_angle_gamma 24.01
_space_group_name_H-M_alt 'P 1'
_space_group_IT_number 1
loop_
_space_group_symop_operation_xyz
'x,y,z'
loop_
_atom_site_label
_atom_site_type_symbol
_atom_site_fract_x
_atom_site_fract_y
_atom_site_fract_z
Re1 Re 0.0000 0.0000 0.0000
N1 N 0.5000 0.5000 0.5000
O1 O 0.4042 0.4042 0.4042
O2 O 0.5958 0.5958 0.5958
```

---

4.
VASP calculation (PBE) on a relaxed structure of ReNO2.

Results
D(E_F) in states/eV per cell: 15.36
Raw formation energy in eV per atom: 1.01
E in hartree per atom: -0.24472

Cell and atoms, written as CIF:
```
data_ReNO2
_cell_length_a 5.9515
_cell_length_b 5.9515
_cell_length_c 5.9515
_cell_angle_alpha 120.52
_cell_angle_beta 120.52
_cell_angle_gamma 89.11
_space_group_name_H-M_alt 'P 1'
_space_group_IT_number 1
loop_
_space_group_symop_operation_xyz
'x,y,z'
loop_
_atom_site_label
_atom_site_type_symbol
_atom_site_fract_x
_atom_site_fract_y
_atom_site_fract_z
Re1 Re 0.0000 0.0000 0.0000
Re2 Re 0.7500 0.2500 0.5000
N1 N 0.2500 0.7500 0.5000
N2 N 0.5000 0.5000 0.0000
O1 O 0.3750 0.1556 0.2806
O2 O 0.8444 0.1250 0.2194
O3 O 0.8750 0.0944 0.7194
O4 O 0.9056 0.6250 0.7806
```

---

5.
VASP calculation (PBE) on a relaxed structure of ReNO2.

Results
D(E_F) in states/eV per cell: 11.21
Raw formation energy in eV per atom: 1.06
E in hartree per atom: -0.24305

Cell and atoms, written as CIF:
```
data_ReNO2
_cell_length_a 6.4654
_cell_length_b 6.4654
_cell_length_c 6.4654
_cell_angle_alpha 126.01
_cell_angle_beta 126.01
_cell_angle_gamma 79.87
_space_group_name_H-M_alt 'P 1'
_space_group_IT_number 1
loop_
_space_group_symop_operation_xyz
'x,y,z'
loop_
_atom_site_label
_atom_site_type_symbol
_atom_site_fract_x
_atom_site_fract_y
_atom_site_fract_z
Re1 Re 0.0000 0.0000 0.0000
Re2 Re 0.0000 0.0000 0.5000
Re3 Re 0.0000 0.5000 0.0000
Re4 Re 0.5000 0.0000 0.5000
N1 N 0.0000 0.5000 0.5000
N2 N 0.5000 0.0000 0.0000
N3 N 0.5000 0.5000 0.0000
N4 N 0.5000 0.5000 0.5000
O1 O 0.1234 0.6756 0.4477
O2 O 0.2721 0.3244 0.9477
O3 O 0.3244 0.2721 0.4477
O4 O 0.3244 0.8766 0.0523
O5 O 0.6756 0.1234 0.9477
O6 O 0.6756 0.7279 0.5523
O7 O 0.7279 0.6756 0.0523
O8 O 0.8766 0.3244 0.5523
```

---

6.
VASP calculation (PBE) on a relaxed structure of ReRhNO2.

Results
D(E_F) in states/eV per cell: 5.06
Raw formation energy in eV per atom: 0.01
E in hartree per atom: -0.27922

Cell and atoms, written as CIF:
```
data_ReRhNO2
_cell_length_a 3.8568
_cell_length_b 3.8568
_cell_length_c 3.9532
_cell_angle_alpha 90.00
_cell_angle_beta 90.00
_cell_angle_gamma 90.00
_space_group_name_H-M_alt 'P 1'
_space_group_IT_number 1
loop_
_space_group_symop_operation_xyz
'x,y,z'
loop_
_atom_site_label
_atom_site_type_symbol
_atom_site_fract_x
_atom_site_fract_y
_atom_site_fract_z
Re1 Re 0.0000 0.0000 0.0000
Rh1 Rh 0.5000 0.5000 0.5000
N1 N 0.0000 0.0000 0.5000
O1 O 0.0000 0.5000 0.0000
O2 O 0.5000 0.0000 0.0000
```